(1)
Er2Tc3Ge5 after structural relaxation. Source: OQMD via LeMat-Bulk, functional PBE.

Properties
The electronic total energy comes out at -0.25038 Ha/atom. For the magnetic moment, the calculation gives 0.00 μB/atom. Its space group is No. 72.

Cell lengths 8.584, 8.584, 8.584 Å; angles 110.28, 82.76, 141.21 degrees
Element x y z (fractional)
Er 0.141 0.239 0.379
Er 0.359 0.739 0.098
Er 0.641 0.261 0.902
Er 0.859 0.761 0.621
Tc 0.151 0.918 0.070
Tc 0.250 0.750 0.500
Tc 0.349 0.418 0.767
Tc 0.651 0.582 0.233
Tc 0.750 0.250 0.500
Tc 0.849 0.082 0.930
Ge 0.047 0.750 0.297
Ge 0.087 0.688 0.774
Ge 0.250 0.250 0.000
Ge 0.413 0.188 0.601
Ge 0.453 0.750 0.703
Ge 0.547 0.250 0.297
Ge 0.587 0.812 0.399
Ge 0.750 0.750 0.000
Ge 0.913 0.312 0.226
Ge 0.953 0.250 0.703

(2)
ErTcGe after structural relaxation. Source: OQMD via LeMat-Bulk, functional PBE.

Properties
The electronic total energy comes out at -0.24172 Ha/atom. For the magnetic moment, the calculation gives 0.11 μB/atom. Its space group is No. 216.

Cell lengths 4.441, 4.441, 4.441 Å; angles 60.00, 60.00, 60.00 degrees
Element x y z (fractional)
Er 0.000 0.000 0.000
Tc 0.500 0.500 0.500
Ge 0.250 0.250 0.250

(3)
Er5GeTe5 after structural relaxation. Source: OQMD via LeMat-Bulk, functional PBE.

Properties
The electronic total energy comes out at -0.19210 Ha/atom. For the magnetic moment, the calculation gives 0.00 μB/atom. Its space group is No. 12.

Cell lengths 7.436, 7.436, 8.543 Å; angles 107.02, 107.02, 48.09 degrees
Element x y z (fractional)
Er 0.000 0.000 0.000
Er 0.344 0.344 0.159
Er 0.344 0.344 0.683
Er 0.656 0.656 0.317
Er 0.656 0.656 0.841
Ge 0.500 0.500 0.000
Te 0.164 0.164 0.826
Te 0.172 0.172 0.336
Te 0.500 0.500 0.500
Te 0.828 0.828 0.664
Te 0.836 0.836 0.174